Crystalline Pm4PrNd5 at its relaxed geometry. Source: Alexandria via LeMat-Bulk, functional PBE-GGA.

Unit cell a=10.6380 b=10.6380 c=6.2984 alpha=90.00 beta=90.00 gamma=90.00
Last column: nearest neighbours and their distance in Å.
Space group I4 (No. 79)
Asymmetric unit:
Pm: 0.0010 0.3265 0.0000 x8  2 Nd 3.31, 1 Pm 3.69
Pr: 0.0000 0.0000 0.2419 x2  1 Nd 2.92
Nd: 0.0000 0.0000 0.7778 x2  1 Pr 2.92
Nd: 0.1888 0.1904 0.5121 x8  2 Pm 3.31, 3 Nd 3.31-3.64, 1 Pr 3.32

Distance to the lowest polymorph of the same formula   1.01 eV per formula unit
D(E_F)   14.48 states/eV/f.u.
ρ   6.7 g/cm3
ΔE_f   0.24 eV/atom

***

Crystalline Pm12Pr2Nd5 at its relaxed geometry. Source: Alexandria via LeMat-Bulk, functional PBE-GGA.

Unit cell a=16.2294 b=10.3765 c=11.4861 alpha=90.00 beta=134.90 gamma=90.00
Last column: nearest neighbours and their distance in Å.
Space group C2/m (No. 12)
Asymmetric unit:
Pm: 0.0971 0.0000 0.3977 x4  7 Pm 3.62-3.69, 3 Nd 3.63-3.66, 2 Pr 3.63
Pm: 0.1020 0.2462 0.9010 x8  5 Pm 3.58-3.69, 5 Nd 3.61-3.68, 1 Pr 3.63
Pm: 0.1015 0.5000 0.3988 x4  7 Pm 3.61-3.69, 2 Nd 3.62-3.66, 2 Pr 3.68
Pm: 0.2009 0.2461 0.3035 x8  7 Pm 3.57-3.69, 3 Nd 3.62-3.69, 1 Pr 3.63
Pr: 0.0000 0.2498 0.5000 x4  8 Pm 3.63-3.68, 4 Nd 3.63-3.68
Nd: 0.0000 0.0000 0.0000 x2  10 Pm 3.63-3.64, 2 Nd 3.64
Nd: 0.1988 0.5000 0.7957 x4  8 Pm 3.62-3.68, 2 Pr 3.63, 2 Nd 3.64-3.65
Nd: 0.2034 0.0000 0.8040 x4  8 Pm 3.61-3.69, 1 Nd 3.65, 2 Pr 3.68

Distance to the lowest polymorph of the same formula   0.00 eV per formula unit
D(E_F)   31.92 states/eV/f.u.
ρ   6.6 g/cm3
ΔE_f   0.10 eV/atom

***

Crystalline Pm3Pr2Nd3 at its relaxed geometry. Source: Alexandria via LeMat-Bulk, functional PBE-GGA.

Unit cell a=16.5807 b=5.9723 c=6.1484 alpha=90.00 beta=111.73 gamma=90.00
Last column: nearest neighbours and their distance in Å.
Space group C2/m (No. 12)
Asymmetric unit:
Pm: 0.0000 0.0000 0.0000 x2  2 Pm 3.41, 4 Nd 3.63
Pm: 0.1308 0.0000 0.5788 x4  1 Pm 3.41, 4 Pr 3.51-3.65, 3 Nd 3.62-3.66
Pr: 0.2500 0.0000 0.1844 x4  5 Nd 3.50-3.87, 5 Pm 3.51-3.87, 2 Pr 3.75
Nd: 0.0000 0.5000 0.5000 x2  2 Nd 3.42, 4 Pm 3.62
Nd: 0.1318 0.5000 0.1845 x4  1 Nd 3.42, 4 Pr 3.50-3.64, 3 Pm 3.63-3.66

Distance to the lowest polymorph of the same formula   0.38 eV per formula unit
D(E_F)   12.90 states/eV/f.u.
ρ   6.8 g/cm3
ΔE_f   0.08 eV/atom

***

Crystalline PmPr2Nd4 at its relaxed geometry. Source: Alexandria via LeMat-Bulk, functional PBE-GGA.

Unit cell a=7.1463 b=8.5696 c=8.6275 alpha=86.75 beta=81.74 gamma=81.14
Last column: nearest neighbours and their distance in Å.
Space group P-1 (No. 2)
Asymmetric unit:
Pm: 0.0000 0.0000 0.0000 x1  2 Nd 3.31, 2 Pm 3.57
Pm: 0.5000 0.0000 0.0000 x1  6 Nd 3.21-3.40, 2 Pm 3.57
Pr: 0.0000 0.0000 0.5000 x1  6 Nd 3.51-3.57
Pr: 0.0000 0.5000 0.0000 x1  6 Nd 3.51-3.57
Pr: 0.0000 0.5000 0.5000 x1  2 Nd 3.32, 2 Pr 3.57
Pr: 0.5000 0.5000 0.5000 x1  6 Nd 3.23-3.43, 2 Pr 3.57
Nd: 0.2665 0.7486 0.7511 x2  3 Pr 3.23-3.51, 1 Pm 3.31, 1 Nd 3.33
Nd: 0.2677 0.2478 0.2502 x2  1 Pm 3.21, 3 Pr 3.32-3.52, 1 Nd 3.33
Nd: 0.3860 0.1403 0.6435 x2  1 Pm 3.40, 2 Pr 3.43-3.57, 4 Nd 3.43-3.65
Nd: 0.3862 0.6426 0.1412 x2  1 Pm 3.40, 2 Pr 3.42-3.57, 4 Nd 3.43-3.65

Distance to the lowest polymorph of the same formula   1.71 eV per formula unit
D(E_F)   10.52 states/eV/f.u.
ρ   6.5 g/cm3
ΔE_f   0.25 eV/atom

***

Crystalline Pm6Pr2Nd at its relaxed geometry. Source: Alexandria via LeMat-Bulk, functional PBE-GGA.

Unit cell a=7.6960 b=7.6960 c=6.2332 alpha=90.00 beta=90.00 gamma=120.00
Last column: nearest neighbours and their distance in Å.
Space group P-3m1 (No. 164)
Asymmetric unit:
Pm: 0.1874 0.3748 0.2905 x6  1 Nd 3.09, 2 Pm 3.37
Pr: 0.3333 0.6667 0.7851 x2  12 Pm 3.65-3.89
Nd: 0.0000 0.0000 0.0000 x1  6 Pm 3.09

Distance to the lowest polymorph of the same formula   1.35 eV per formula unit
D(E_F)   15.26 states/eV/f.u.
ρ   6.7 g/cm3
ΔE_f   0.21 eV/atom

***

Crystalline PmPr6Nd2 at its relaxed geometry. Source: Alexandria via LeMat-Bulk, functional PBE-GGA.

Unit cell a=3.5373 b=10.4303 c=17.7587 alpha=90.00 beta=90.00 gamma=90.00
Last column: nearest neighbours and their distance in Å.
Space group Immm (No. 71)
Asymmetric unit:
Pm: 0.0000 0.0000 0.0000 x2  2 Pm 3.54, 8 Pr 3.54-3.70
Pr: 0.0000 0.1870 0.1665 x8  7 Pr 3.54-3.90, 1 Pm 3.54, 3 Nd 3.55-3.71
Pr: 0.0000 0.1880 0.5000 x4  7 Pr 3.54-3.92, 2 Nd 3.55, 2 Pm 3.70
Nd: 0.0000 0.0000 0.3334 x4  2 Nd 3.54, 8 Pr 3.55-3.71

Distance to the lowest polymorph of the same formula   0.00 eV per formula unit
D(E_F)   17.82 states/eV/f.u.
ρ   6.5 g/cm3
ΔE_f   0.16 eV/atom

***

Crystalline Pm3Pr7Nd at its relaxed geometry. Source: Alexandria via LeMat-Bulk, functional PBE-GGA.

Unit cell a=11.9853 b=10.3683 c=6.5486 alpha=90.00 beta=95.71 gamma=90.00
Last column: nearest neighbours and their distance in Å.
Space group C2/m (No. 12)
Asymmetric unit:
Pm: 0.0000 0.0000 0.0000 x2  6 Pr 3.55-3.72, 4 Pm 3.72
Pm: 0.0000 0.1709 0.5000 x4  7 Pr 3.41-3.66, 3 Pm 3.54-3.72
Pr: 0.0000 0.5000 0.5000 x2  2 Nd 3.27, 2 Pm 3.41, 2 Pr 3.58
Pr: 0.2363 0.0000 0.7133 x4  5 Pr 3.39-3.62, 3 Pm 3.51-3.55, 1 Nd 3.51
Pr: 0.2490 0.3253 0.7614 x8  6 Pr 3.39-3.77, 3 Pm 3.61-3.72
Nd: 0.0000 0.5000 0.0000 x2  4 Pr 3.27-3.51

D(E_F)   15.24 states/eV/f.u.
ρ   6.4 g/cm3
ΔE_f   0.21 eV/atom

***

Crystalline Pm12PrNd7 at its relaxed geometry. Source: Alexandria via LeMat-Bulk, functional PBE-GGA.

Unit cell a=12.3195 b=12.3195 c=16.1805 alpha=90.00 beta=90.00 gamma=120.00
Last column: nearest neighbours and their distance in Å.
Space group R-3 (No. 148, hexagonal axes)
Asymmetric unit:
Pm: 0.0207 0.5758 0.2231 x18  3 Pm 3.26-3.43, 1 Pr 3.55, 1 Nd 3.59
Pm: 0.0531 0.4635 0.5812 x18  4 Pm 3.26-3.43, 2 Nd 3.38-3.61
Pr: 0.0000 0.0000 0.5000 x3  6 Pm 3.55, 6 Nd 3.93
Nd: 0.0000 0.0000 0.0000 x3  6 Pm 3.38
Nd: 0.0555 0.8677 0.2929 x18  3 Nd 3.50-3.56, 7 Pm 3.59-3.87

Distance to the lowest polymorph of the same formula   0.00 eV per formula unit
D(E_F)   38.43 states/eV/f.u.
ρ   6.8 g/cm3
ΔE_f   0.21 eV/atom

***

Crystalline Pm6Pr3Nd at its relaxed geometry. Source: Alexandria via LeMat-Bulk, functional PBE-GGA.

Unit cell a=11.0948 b=19.4906 c=6.5006 alpha=90.00 beta=90.00 gamma=90.00
Last column: nearest neighbours and their distance in Å.
Space group Cmc2_1 (No. 36)
Asymmetric unit:
Pm: 0.0000 0.0343 0.0000 x4  1 Nd 3.43, 2 Pm 3.51, 4 Pr 3.60-3.61
Pm: 0.0000 0.2788 0.7888 x4  2 Pm 3.17, 1 Nd 3.46, 1 Pr 3.51
Pm: 0.1700 0.4584 0.6965 x8  4 Pr 3.48-3.87, 5 Pm 3.53-3.88
Pm: 0.2357 0.2918 0.5160 x8  2 Pm 3.17-3.53, 1 Nd 3.32, 2 Pr 3.36-3.51
Pr: 0.0000 0.3844 0.2264 x4  7 Pm 3.51-3.87, 2 Pr 3.68, 1 Nd 3.80
Pr: 0.1759 0.1172 0.6037 x8  1 Nd 3.33, 6 Pm 3.36-3.61, 1 Pr 3.68
Nd: 0.0000 0.1896 0.2496 x4  6 Pm 3.32-3.71, 2 Pr 3.33

Distance to the lowest polymorph of the same formula   0.00 eV per formula unit
D(E_F)   13.71 states/eV/f.u.
ρ   6.8 g/cm3
ΔE_f   0.13 eV/atom

***

Crystalline PmPr2Nd at its relaxed geometry. Source: Alexandria via LeMat-Bulk, functional PBE-GGA.

Unit cell a=3.6913 b=3.6913 c=10.4419 alpha=90.00 beta=90.00 gamma=90.00
Last column: nearest neighbours and their distance in Å.
Space group P4/mmm (No. 123)
Asymmetric unit:
Pm: 0.0000 0.0000 0.0000 x1  8 Pr 3.68, 4 Pm 3.69
Pr: 0.5000 0.5000 0.2489 x2  4 Pm 3.68, 4 Pr 3.69, 4 Nd 3.70
Nd: 0.0000 0.0000 0.5000 x1  4 Nd 3.69, 8 Pr 3.70

Distance to the lowest polymorph of the same formula   0.00 eV per formula unit
D(E_F)   5.90 states/eV/f.u.
ρ   6.7 g/cm3
ΔE_f   0.01 eV/atom

***

Crystalline Pm3PrNd5 at its relaxed geometry. Source: Alexandria via LeMat-Bulk, functional PBE-GGA.

Unit cell a=17.4469 b=8.2941 c=9.6848 alpha=90.00 beta=105.58 gamma=90.00
Last column: nearest neighbours and their distance in Å.
Space group C2/m (No. 12)
Asymmetric unit:
Pm: 0.0000 0.0000 0.0000 x2  2 Nd 2.69
Pm: 0.0000 0.0000 0.5000 x2  2 Pr 3.41, 4 Nd 3.63, 2 Pm 3.78
Pm: 0.1517 0.0000 0.2848 x4  1 Pm 3.27, 4 Nd 3.62-3.66
Pm: 0.1880 0.5000 0.2669 x4  6 Nd 3.44-3.59, 1 Pr 3.66
Pr: 0.1256 0.0000 0.8375 x4  1 Pm 3.02
Nd: 0.0000 0.3239 0.0000 x4  1 Pm 2.69, 1 Nd 2.92
Nd: 0.0033 0.5000 0.6741 x4  8 Nd 3.34-3.67, 1 Pm 3.53
Nd: 0.1619 0.2889 0.5748 x8  5 Nd 3.50-3.79, 5 Pm 3.58-3.66, 1 Pr 3.67
Nd: 0.1915 0.5000 0.9133 x4  2 Pm 3.44-3.74, 1 Pr 3.45, 3 Nd 3.47-3.63

Distance to the lowest polymorph of the same formula   1.01 eV per formula unit
D(E_F)   14.43 states/eV/f.u.
ρ   6.4 g/cm3
ΔE_f   0.38 eV/atom

***

Crystalline Pm6PrNd2 at its relaxed geometry. Source: Alexandria via LeMat-Bulk, functional PBE-GGA.

Unit cell a=10.0191 b=17.4483 c=3.5609 alpha=90.00 beta=90.00 gamma=90.00
Last column: nearest neighbours and their distance in Å.
Space group Cmmm (No. 65)
Asymmetric unit:
Pm: 0.1669 0.0000 0.0000 x4  5 Pm 3.34-3.56
Pm: 0.1675 0.3331 0.0000 x8  5 Pm 3.34-3.56
Pr: 0.0000 0.5000 0.5000 x2  2 Pr 3.56, 12 Pm 3.78-3.80
Nd: 0.0000 0.1667 0.5000 x4  2 Nd 3.56, 12 Pm 3.78-3.80

Distance to the lowest polymorph of the same formula   0.00 eV per formula unit
D(E_F)   12.96 states/eV/f.u.
ρ   6.9 g/cm3
ΔE_f   0.03 eV/atom

***

Crystalline Pm8Pr5Nd at its relaxed geometry. Source: Alexandria via LeMat-Bulk, functional PBE-GGA.

Unit cell a=9.7838 b=9.7838 c=10.4361 alpha=90.00 beta=90.00 gamma=90.00
Last column: nearest neighbours and their distance in Å.
Space group I-4 (No. 82)
Asymmetric unit:
Pm: 0.0718 0.3242 0.3974 x8  5 Pr 3.42-3.65, 3 Pm 3.72-3.76
Pm: 0.0807 0.1823 0.7446 x8  1 Nd 3.21, 3 Pr 3.21-3.50
Pr: 0.0000 0.0000 0.5000 x2  8 Pm 3.21-3.42
Pr: 0.1077 0.2107 0.0741 x8  8 Pm 3.46-3.68, 2 Pr 3.62
Nd: 0.0000 0.5000 0.7500 x2  4 Pm 3.21

D(E_F)   20.50 states/eV/f.u.
ρ   6.7 g/cm3
ΔE_f   0.22 eV/atom

***

Crystalline PmPrNd4 at its relaxed geometry. Source: Alexandria via LeMat-Bulk, functional PBE-GGA.

Unit cell a=9.5377 b=9.5377 c=9.5377 alpha=90.00 beta=90.00 gamma=90.00
Last column: nearest neighbours and their distance in Å.
Space group F-43m (No. 216)
Asymmetric unit:
Pm: 0.0000 0.0000 0.0000 x4  12 Nd 3.95, 4 Pr 4.13
Pr: 0.2500 0.2500 0.2500 x4  12 Nd 3.95, 4 Pm 4.13
Nd: 0.1253 0.1253 0.6253 x16  6 Nd 3.37-3.38

Distance to the lowest polymorph of the same formula   1.41 eV per formula unit
D(E_F)   10.58 states/eV/f.u.
ρ   6.6 g/cm3
ΔE_f   0.25 eV/atom

***

Crystalline Pm4Pr6Nd at its relaxed geometry. Source: Alexandria via LeMat-Bulk, functional PBE-GGA.

Unit cell a=6.6916 b=6.6916 c=17.8633 alpha=90.00 beta=90.00 gamma=90.00
Last column: nearest neighbours and their distance in Å.
Space group I-42m (No. 121)
Asymmetric unit:
Pm: 0.1888 0.1888 0.3206 x8  5 Pr 3.38-3.62, 1 Pm 3.57, 1 Nd 3.67
Pr: 0.0000 0.5000 0.0000 x4  2 Nd 3.35, 4 Pr 3.40
Pr: 0.1794 0.1794 0.1312 x8  5 Pm 3.38-3.62, 3 Pr 3.40
Nd: 0.0000 0.0000 0.5000 x2  4 Pr 3.35, 4 Pm 3.67

Distance to the lowest polymorph of the same formula   0.00 eV per formula unit
D(E_F)   18.52 states/eV/f.u.
ρ   6.5 g/cm3
ΔE_f   0.28 eV/atom

***

Crystalline PmPr2Nd at its relaxed geometry. Source: Alexandria via LeMat-Bulk, functional PBE-GGA.

Unit cell a=5.2205 b=5.2205 c=10.4731 alpha=90.00 beta=90.00 gamma=90.00
Last column: nearest neighbours and their distance in Å.
Space group I-4m2 (No. 119)
Asymmetric unit:
Pm: 0.0000 0.0000 0.0000 x2  8 Pr 3.69-3.70, 4 Nd 3.70
Pr: 0.0000 0.0000 0.5000 x2  4 Pm 3.69, 4 Pr 3.70, 4 Nd 3.70
Pr: 0.0000 0.5000 0.7500 x2  4 Nd 3.69, 4 Pr 3.70, 4 Pm 3.70
Nd: 0.0000 0.5000 0.2500 x2  8 Pr 3.69-3.70, 4 Pm 3.70

Distance to the lowest polymorph of the same formula   0.01 eV per formula unit
D(E_F)   6.90 states/eV/f.u.
ρ   6.6 g/cm3
ΔE_f   0.01 eV/atom

***

Crystalline Pm8PrNd2 at its relaxed geometry. Source: Alexandria via LeMat-Bulk, functional PBE-GGA.

Unit cell a=19.4249 b=7.1426 c=5.7286 alpha=90.00 beta=93.67 gamma=90.00
Last column: nearest neighbours and their distance in Å.
Space group C2/m (No. 12)
Asymmetric unit:
Pm: 0.0446 0.0000 0.2373 x4  1 Pm 3.13, 1 Nd 3.32
Pm: 0.1299 0.2342 0.7303 x8  4 Pm 3.35-3.67, 3 Nd 3.55-3.74, 1 Pr 3.59
Pm: 0.1870 0.5000 0.2304 x4  4 Nd 3.39-3.62, 4 Pm 3.55-3.67, 1 Pr 3.79
Pr: 0.0000 0.5000 0.0000 x2  10 Pm 3.59-3.90
Nd: 0.2157 0.0000 0.2561 x4  9 Pm 3.32-3.68

Distance to the lowest polymorph of the same formula   1.50 eV per formula unit
D(E_F)   17.10 states/eV/f.u.
ρ   6.7 g/cm3
ΔE_f   0.15 eV/atom

***

Crystalline Pm2Pr3Nd4 at its relaxed geometry. Source: Alexandria via LeMat-Bulk, functional PBE-GGA.

Unit cell a=3.6788 b=3.6788 c=27.5376 alpha=90.00 beta=90.00 gamma=120.00
Last column: nearest neighbours and their distance in Å.
Space group P3m1 (No. 156)
Asymmetric unit:
Pm: 0.0000 0.0000 0.0000 x1  3 Nd 3.63, 6 Pm 3.68, 3 Pr 3.75
Pm: 0.0000 0.0000 0.2181 x1  1 Nd 3.44, 3 Pr 3.60, 6 Pm 3.68
Pr: 0.0000 0.0000 0.7817 x1  6 Pr 3.68, 6 Nd 3.72-3.73
Pr: 0.3333 0.6667 0.1124 x1  6 Pm 3.60-3.75, 6 Pr 3.68
Pr: 0.3333 0.6667 0.4496 x1  6 Nd 3.62-3.77, 6 Pr 3.68
Nd: 0.0000 0.0000 0.3431 x1  1 Pm 3.44, 3 Pr 3.62, 6 Nd 3.68
Nd: 0.0000 0.0000 0.5628 x1  9 Nd 3.65-3.68, 3 Pr 3.77
Nd: 0.3333 0.6667 0.6708 x1  9 Nd 3.65-3.68, 3 Pr 3.72
Nd: 0.3333 0.6667 0.8931 x1  3 Pm 3.63, 6 Nd 3.68, 3 Pr 3.73

Distance to the lowest polymorph of the same formula   0.00 eV per formula unit
D(E_F)   16.38 states/eV/f.u.
ρ   6.6 g/cm3
ΔE_f   0.06 eV/atom

***

Crystalline Pm2Pr7Nd2 at its relaxed geometry. Source: Alexandria via LeMat-Bulk, functional PBE-GGA.

Unit cell a=6.8268 b=12.3874 c=9.6843 alpha=90.00 beta=90.00 gamma=90.00
Last column: nearest neighbours and their distance in Å.
Space group Cmmm (No. 65)
Asymmetric unit:
Pm: 0.0000 0.2343 0.0000 x4  7 Pr 3.29-3.53, 2 Pm 3.44
Pr: 0.0000 0.0000 0.1768 x4  2 Pm 3.37, 1 Pr 3.43, 2 Nd 3.57
Pr: 0.0000 0.5000 0.0000 x2  2 Pm 3.29
Pr: 0.2500 0.2500 0.3181 x8  5 Pr 3.41-3.79, 2 Pm 3.53, 2 Nd 3.56
Nd: 0.2493 0.5000 0.5000 x4  2 Nd 3.40-3.42, 6 Pr 3.56-3.57

Distance to the lowest polymorph of the same formula   2.00 eV per formula unit
D(E_F)   19.49 states/eV/f.u.
ρ   6.3 g/cm3
ΔE_f   0.31 eV/atom

***

Crystalline Pm8Pr2Nd at its relaxed geometry. Source: Alexandria via LeMat-Bulk, functional PBE-GGA.

Unit cell a=19.4117 b=7.1498 c=5.7425 alpha=90.00 beta=93.65 gamma=90.00
Last column: nearest neighbours and their distance in Å.
Space group C2/m (No. 12)
Asymmetric unit:
Pm: 0.0446 0.0000 0.2366 x4  1 Pm 3.13, 1 Pr 3.32
Pm: 0.1289 0.2347 0.7305 x8  4 Pm 3.36-3.68, 2 Pr 3.56-3.70, 1 Nd 3.57
Pm: 0.1863 0.5000 0.2300 x4  4 Pr 3.40-3.62, 4 Pm 3.56-3.68, 1 Nd 3.77
Pr: 0.2159 0.0000 0.2566 x4  9 Pm 3.32-3.70
Nd: 0.0000 0.5000 0.0000 x2  10 Pm 3.57-3.90

Distance to the lowest polymorph of the same formula   1.55 eV per formula unit
D(E_F)   17.01 states/eV/f.u.
ρ   6.6 g/cm3
ΔE_f   0.15 eV/atom